# 1
A plane-wave DFT calculation with PBE was carried out for an optimized crystal structure of BeTe2SeI. Values from VASP.

Values from the calculation:
Its energy relative to the elements, uncorrected is 0.467 eV/atom. The spin magnetization is 0.0 μB per cell. For the offset from the most stable computed form, the calculation gives 0.000 kcal/mol of atoms.

Structure (Quantum ESPRESSO input):
```
&SYSTEM
  ibrav = 0, nat = 5, ntyp = 4
/
ATOMIC_SPECIES
I 126.90 I.upf
Be 9.01 Be.upf
Te 127.60 Te.upf
Se 78.96 Se.upf
CELL_PARAMETERS angstrom
5.118 0.000 0.000
0.000 5.118 0.000
0.000 0.000 4.913
ATOMIC_POSITIONS crystal
I 0.000 0.000 0.500
Be 0.000 0.000 0.000
Te 0.000 0.500 0.000
Te 0.500 0.000 0.000
Se 0.500 0.500 0.500
```

=====

# 2
A plane-wave DFT calculation with PBE was carried out for an optimized crystal structure of PmAsPd3. Values from VASP.

Values from the calculation:
The spin magnetization is 0.0 μB per cell. For the offset from the most stable computed form, the calculation gives 0.000 kcal/mol of atoms. The energy relative to the elements comes out at -533 meV/atom.

Structure (Quantum ESPRESSO input):
```
&SYSTEM
  ibrav = 0, nat = 5, ntyp = 3
/
ATOMIC_SPECIES
As 74.92 As.upf
Pd 106.42 Pd.upf
Pm 145.00 Pm.upf
CELL_PARAMETERS angstrom
-0.070 3.061 -3.610
3.155 -2.661 -2.318
-3.528 -2.440 -2.001
ATOMIC_POSITIONS crystal
As 0.000 0.000 0.000
Pd 0.000 0.500 0.000
Pd 0.000 0.000 0.500
Pd 0.500 0.000 0.000
Pm 0.500 0.500 0.500
```

=====

# 3
A plane-wave DFT calculation with PBE was carried out for an optimized crystal structure of PmSm2HoIn4. Values from VASP.

Values from the calculation:
The spin magnetization is 0.0 μB per cell. The energy relative to the elements comes out at -482 meV/atom.

Structure (Quantum ESPRESSO input):
```
&SYSTEM
  ibrav = 0, nat = 8, ntyp = 4
/
ATOMIC_SPECIES
Pm 145.00 Pm.upf
Sm 150.36 Sm.upf
Ho 164.93 Ho.upf
In 114.82 In.upf
CELL_PARAMETERS angstrom
-4.300 3.247 -0.008
-4.333 -1.260 2.945
0.474 5.117 7.816
ATOMIC_POSITIONS crystal
Pm 0.000 0.000 0.000
Sm 0.751 0.751 0.748
Sm 0.249 0.249 0.252
Ho 0.500 0.500 0.500
In 0.376 0.376 0.872
In 0.874 0.874 0.378
In 0.126 0.126 0.622
In 0.624 0.624 0.128
```

=====

# 4
A plane-wave DFT calculation with PBE was carried out for an optimized crystal structure of BaIr3C. Values from VASP.

Values from the calculation:
The spin magnetization is 1.3 μB per cell. For the offset from the most stable computed form, the calculation gives 83.802 kcal/mol of atoms. The energy relative to the elements comes out at 4192 meV/atom.

Structure (Quantum ESPRESSO input):
```
&SYSTEM
  ibrav = 0, nat = 5, ntyp = 3
/
ATOMIC_SPECIES
C 12.01 C.upf
Ir 192.22 Ir.upf
Ba 137.33 Ba.upf
CELL_PARAMETERS angstrom
-2.138 2.703 3.798
-3.879 1.285 -3.098
-2.585 -4.165 1.509
ATOMIC_POSITIONS crystal
C 0.500 0.500 0.500
Ir 0.000 0.500 0.000
Ir 0.000 0.000 0.500
Ir 0.500 0.000 0.000
Ba 0.000 0.000 0.000
```

=====

# 5
A plane-wave DFT calculation with PBE was carried out for an optimized crystal structure of HgPW2. Values from VASP.

Values from the calculation:
The spin magnetization is 0.0 μB per cell. For the offset from the most stable computed form, the calculation gives 2.462 kcal/mol of atoms. The energy relative to the elements comes out at 413 meV/atom.

Structure (Quantum ESPRESSO input):
```
&SYSTEM
  ibrav = 0, nat = 4, ntyp = 3
/
ATOMIC_SPECIES
Hg 200.59 Hg.upf
P 30.97 P.upf
W 183.84 W.upf
CELL_PARAMETERS angstrom
8.656 -1.482 0.001
8.656 1.482 0.001
8.402 0.000 2.555
ATOMIC_POSITIONS crystal
Hg 0.500 0.500 0.500
P 0.000 0.000 0.000
W 0.739 0.739 0.739
W 0.261 0.261 0.261
```

=====

# 6
A plane-wave DFT calculation with PBE was carried out for an optimized crystal structure of ZnMoAuCl2. Values from VASP.

Values from the calculation:
Its energy relative to the elements, uncorrected is 0.833 eV/atom. The spin magnetization is 5.0 μB per cell.

Structure (Quantum ESPRESSO input):
```
&SYSTEM
  ibrav = 0, nat = 5, ntyp = 4
/
ATOMIC_SPECIES
Mo 95.94 Mo.upf
Au 196.97 Au.upf
Zn 65.41 Zn.upf
Cl 35.45 Cl.upf
CELL_PARAMETERS angstrom
-5.241 0.118 -0.507
-0.218 -5.156 1.055
-0.443 1.003 4.811
ATOMIC_POSITIONS crystal
Mo 0.500 0.500 0.500
Au 0.000 0.000 0.000
Zn 0.000 0.000 0.500
Cl 0.000 0.500 0.000
Cl 0.500 0.000 0.000
```